(1)
## OsC3 (PBEsol)

Data for a geometry-optimized OsC3 structure.

As for the formation enthalpy at 0 K: 2.340 eV/atom. The calculation puts the raw total energy at -31.789 eV/f.u. The value obtained for the density of states at the Fermi level is 3.89 states/eV/cell.

The space group is Pm-3n (No. 223) and the conventional cell measures 4.0070, 4.0070 and 4.0070 Å, with angles of 90.00, 90.00 and 90.00 degrees. Symmetry generates all atoms from Os at (0.0000, 0.0000, 0.0000) and C at (0.0000, 0.2500, 0.5000).

=====

(2)
## OsC3 (PBEsol)

Data for a geometry-optimized OsC3 structure.

As for the formation enthalpy at 0 K: 2.332 eV/atom. The calculation puts the raw total energy at -31.820 eV/f.u. The value obtained for the density of states at the Fermi level is 1.64 states/eV/cell.

The space group is P-6m2 (No. 187) and the conventional cell measures 2.6412, 2.6412 and 5.4029 Å, with angles of 90.00, 90.00 and 120.00 degrees. Symmetry generates all atoms from Os at (0.0000, 0.0000, 0.0000), C at (0.0000, 0.0000, 0.5000) and C at (0.6667, 0.3333, 0.3045).

=====

(3)
## Zr2POsC (PBEsol)

Data for a geometry-optimized Zr2POsC structure.

As for the formation enthalpy at 0 K: 1.154 eV/atom. The calculation puts the raw total energy at -40.062 eV/f.u. The value obtained for the density of states at the Fermi level is 4.07 states/eV/cell.

The space group is P4/mmm (No. 123) and the conventional cell measures 4.8015, 4.8015 and 4.1664 Å, with angles of 90.00, 90.00 and 90.00 degrees. Symmetry generates all atoms from Zr at (0.0000, 0.5000, 0.0000), P at (0.0000, 0.0000, 0.0000), Os at (0.0000, 0.0000, 0.5000) and C at (0.5000, 0.5000, 0.5000).

=====

(4)
## OsPbC3 (PBEsol)

Data for a geometry-optimized OsPbC3 structure.

As for the formation enthalpy at 0 K: 4.186 eV/atom. The calculation puts the raw total energy at -24.217 eV/f.u. The value obtained for the density of states at the Fermi level is 4.89 states/eV/cell.

The space group is Pm-3m (No. 221) and the conventional cell measures 4.2307, 4.2307 and 4.2307 Å, with angles of 90.00, 90.00 and 90.00 degrees. Symmetry generates all atoms from Os at (0.0000, 0.0000, 0.0000), Pb at (0.5000, 0.5000, 0.5000) and C at (0.0000, 0.5000, 0.5000).

=====

(5)
## SbOsPbC2 (PBEsol)

Data for a geometry-optimized SbOsPbC2 structure.

The calculation puts the raw total energy at -27.188 eV/f.u. The value obtained for the density of states at the Fermi level is 5.26 states/eV/cell. For the uncorrected formation energy, the calculation gives 2.57 eV per atom.

The space group is P4/mmm (No. 123) and the conventional cell measures 4.1996, 4.1996 and 5.1724 Å, with angles of 90.00, 90.00 and 90.00 degrees. Symmetry generates all atoms from Sb at (0.0000, 0.0000, 0.0000), Os at (0.0000, 0.0000, 0.5000), Pb at (0.5000, 0.5000, 0.5000) and C at (0.0000, 0.5000, 0.0000).

=====

(6)
## Sc2OsPbC (PBEsol)

Data for a geometry-optimized Sc2OsPbC structure.

As for the formation enthalpy at 0 K: 2.517 eV/atom. The calculation puts the raw total energy at -26.483 eV/f.u. The value obtained for the density of states at the Fermi level is 5.31 states/eV/cell.

The space group is P4/mmm (No. 123) and the conventional cell measures 5.2578, 5.2578 and 4.8695 Å, with angles of 90.00, 90.00 and 90.00 degrees. Symmetry generates all atoms from Sc at (0.0000, 0.5000, 0.0000), Os at (0.0000, 0.0000, 0.5000), Pb at (0.0000, 0.0000, 0.0000) and C at (0.5000, 0.5000, 0.5000).

=====

(7)
## OsPdC2 (PBEsol)

Data for a geometry-optimized OsPdC2 structure.

As for the formation enthalpy at 0 K: 1.661 eV/atom. The calculation puts the raw total energy at -30.818 eV/f.u. The value obtained for the density of states at the Fermi level is 14.89 states/eV/cell.

The space group is Fm-3m (No. 225) and the conventional cell measures 5.3976, 5.3976 and 5.3976 Å, with angles of 90.00, 90.00 and 90.00 degrees. Symmetry generates all atoms from Os at (0.0000, 0.0000, 0.0000), Pd at (0.0000, 0.0000, 0.5000) and C at (0.2500, 0.2500, 0.2500).

=====

(8)
## OsPdC2Se (PBEsol)

Data for a geometry-optimized OsPdC2Se structure.

The calculation puts the raw total energy at -34.876 eV/f.u. The value obtained for the density of states at the Fermi level is 2.25 states/eV/cell. For the uncorrected formation energy, the calculation gives 1.29 eV per atom.

The space group is P4/mmm (No. 123) and the conventional cell measures 3.8334, 3.8334 and 5.3574 Å, with angles of 90.00, 90.00 and 90.00 degrees. Symmetry generates all atoms from Os at (0.0000, 0.0000, 0.0000), Pd at (0.5000, 0.5000, 0.5000), C at (0.0000, 0.5000, 0.0000) and Se at (0.0000, 0.0000, 0.5000).

=====

(9)
## Pr12Os5C15 (PBEsol)

Data for a geometry-optimized Pr12Os5C15 structure.

As for the formation enthalpy at 0 K: -0.229 eV/atom. The calculation puts the raw total energy at -275.274 eV/f.u. The value obtained for the density of states at the Fermi level is 14.34 states/eV/cell.

The space group is P-62m (No. 189) and the conventional cell measures 10.9299, 10.9299 and 5.3297 Å, with angles of 90.00, 90.00 and 120.00 degrees. Symmetry generates all atoms from Pr at (0.0000, 0.4269, 0.0000), Pr at (0.0000, 0.7947, 0.0000), Pr at (0.1854, 0.7262, 0.5000), Os at (0.0000, 0.1603, 0.5000), Os at (0.3333, 0.6667, 0.0000), C at (0.0000, 0.3315, 0.5000), C at (0.0000, 0.4534, 0.5000), C at (0.0000, 0.8007, 0.5000) and C at (0.1859, 0.7118, 0.0000).

=====

(10)
## TlOs2PtC (PBEsol)

Data for a geometry-optimized TlOs2PtC structure.

As for the formation enthalpy at 0 K: 0.735 eV/atom. The calculation puts the raw total energy at -39.995 eV/f.u. The value obtained for the density of states at the Fermi level is 4.02 states/eV/cell.

The space group is P4/mmm (No. 123) and the conventional cell measures 4.1191, 4.1191 and 4.2203 Å, with angles of 90.00, 90.00 and 90.00 degrees. Symmetry generates all atoms from Tl at (0.0000, 0.0000, 0.0000), Os at (0.0000, 0.5000, 0.5000), Pt at (0.5000, 0.5000, 0.0000) and C at (0.5000, 0.5000, 0.5000).

=====

(11)
## YOsPtC2 (PBEsol)

Data for a geometry-optimized YOsPtC2 structure.

As for the formation enthalpy at 0 K: 2.973 eV/atom. The calculation puts the raw total energy at -30.426 eV/f.u. The value obtained for the density of states at the Fermi level is 5.25 states/eV/cell.

The space group is P4/mmm (No. 123) and the conventional cell measures 4.1962, 4.1962 and 5.0885 Å, with angles of 90.00, 90.00 and 90.00 degrees. Symmetry generates all atoms from Y at (0.0000, 0.0000, 0.0000), Os at (0.5000, 0.5000, 0.5000), Pt at (0.0000, 0.0000, 0.5000) and C at (0.0000, 0.5000, 0.0000).

=====

(12)
## Rb2OsC (PBEsol)

Data for a geometry-optimized Rb2OsC structure.

As for the formation enthalpy at 0 K: 1.000 eV/atom. The calculation puts the raw total energy at -19.911 eV/f.u. The value obtained for the density of states at the Fermi level is 16.84 states/eV/cell.

The space group is I-42d (No. 122) and the conventional cell measures 12.1091, 12.1091 and 3.8618 Å, with angles of 90.00, 90.00 and 90.00 degrees. Symmetry generates all atoms from Rb at (0.0255, 0.7500, 0.1250), Os at (0.0000, 0.0000, 0.5000) and C at (0.0000, 0.0000, 0.0000).

=====

(13)
## ReOsC2 (PBEsol)

Data for a geometry-optimized ReOsC2 structure.

As for the formation enthalpy at 0 K: 0.765 eV/atom. The calculation puts the raw total energy at -41.775 eV/f.u. The value obtained for the density of states at the Fermi level is 15.46 states/eV/cell.

The space group is I-42d (No. 122) and the conventional cell measures 4.6053, 4.6053 and 9.1491 Å, with angles of 90.00, 90.00 and 90.00 degrees. Symmetry generates all atoms from Re at (0.0000, 0.0000, 0.0000), Os at (0.0000, 0.0000, 0.5000) and C at (0.2475, 0.2500, 0.6250).

=====

(14)
## SiOs2RhC (PBEsol)

Data for a geometry-optimized SiOs2RhC structure.

The calculation puts the raw total energy at -32.363 eV/f.u. The value obtained for the density of states at the Fermi level is 5.05 states/eV/cell. For the uncorrected formation energy, the calculation gives 3.12 eV per atom.

The space group is P4/mmm (No. 123) and the conventional cell measures 4.6412, 4.6412 and 4.3290 Å, with angles of 90.00, 90.00 and 90.00 degrees. Symmetry generates all atoms from Si at (0.0000, 0.0000, 0.0000), Os at (0.0000, 0.5000, 0.5000), Rh at (0.0000, 0.0000, 0.5000) and C at (0.5000, 0.5000, 0.0000).

=====

(15)
## OsRuC2 (PBEsol)

Data for a geometry-optimized OsRuC2 structure.

As for the formation enthalpy at 0 K: 1.214 eV/atom. The calculation puts the raw total energy at -36.822 eV/f.u. The value obtained for the density of states at the Fermi level is 8.88 states/eV/cell.

The space group is Fm-3m (No. 225) and the conventional cell measures 5.3089, 5.3089 and 5.3089 Å, with angles of 90.00, 90.00 and 90.00 degrees. Symmetry generates all atoms from Os at (0.0000, 0.0000, 0.0000), Ru at (0.0000, 0.0000, 0.5000) and C at (0.2500, 0.2500, 0.2500).

=====

(16)
## SnOsRuC2 (PBEsol)

Data for a geometry-optimized SnOsRuC2 structure.

As for the formation enthalpy at 0 K: 2.029 eV/atom. The calculation puts the raw total energy at -35.791 eV/f.u. The value obtained for the density of states at the Fermi level is 5.24 states/eV/cell.

The space group is P4/mmm (No. 123) and the conventional cell measures 3.8400, 3.8400 and 5.4910 Å, with angles of 90.00, 90.00 and 90.00 degrees. Symmetry generates all atoms from Sn at (0.0000, 0.0000, 0.0000), Os at (0.5000, 0.5000, 0.0000), Ru at (0.0000, 0.0000, 0.5000) and C at (0.0000, 0.5000, 0.5000).

=====

(17)
## Os3CS (PBEsol)

Data for a geometry-optimized Os3CS structure.

The calculation puts the raw total energy at -45.374 eV/f.u. The value obtained for the density of states at the Fermi level is 2.81 states/eV/cell. For the uncorrected formation energy, the calculation gives 1.06 eV per atom.

The space group is Pm-3m (No. 221) and the conventional cell measures 4.0340, 4.0340 and 4.0340 Å, with angles of 90.00, 90.00 and 90.00 degrees. Symmetry generates all atoms from Os at (0.0000, 0.0000, 0.5000), C at (0.0000, 0.0000, 0.0000) and S at (0.5000, 0.5000, 0.5000).

=====

(18)
## SbOs3C (PBEsol)

Data for a geometry-optimized SbOs3C structure.

The calculation puts the raw total energy at -30.518 eV/f.u. The value obtained for the density of states at the Fermi level is 5.49 states/eV/cell. For the uncorrected formation energy, the calculation gives 4.07 eV per atom.

The space group is Pm-3m (No. 221) and the conventional cell measures 4.7755, 4.7755 and 4.7755 Å, with angles of 90.00, 90.00 and 90.00 degrees. Symmetry generates all atoms from Sb at (0.0000, 0.0000, 0.0000), Os at (0.0000, 0.0000, 0.5000) and C at (0.5000, 0.5000, 0.5000).

=====

(19)
## SbOs2C (PBEsol)

Data for a geometry-optimized SbOs2C structure.

The calculation puts the raw total energy at -32.529 eV/f.u. The value obtained for the density of states at the Fermi level is 6.24 states/eV/cell. For the uncorrected formation energy, the calculation gives 1.53 eV per atom.

The space group is Fm-3m (No. 225) and the conventional cell measures 6.0482, 6.0482 and 6.0482 Å, with angles of 90.00, 90.00 and 90.00 degrees. Symmetry generates all atoms from Sb at (0.0000, 0.0000, 0.0000), Os at (0.2500, 0.2500, 0.2500) and C at (0.0000, 0.0000, 0.5000).

=====

(20)
## Sc3OsC (PBEsol)

Data for a geometry-optimized Sc3OsC structure.

As for the formation enthalpy at 0 K: -0.186 eV/atom. The calculation puts the raw total energy at -42.606 eV/f.u. The value obtained for the density of states at the Fermi level is 4.28 states/eV/cell.

The space group is Pm-3m (No. 221) and the conventional cell measures 4.3628, 4.3628 and 4.3628 Å, with angles of 90.00, 90.00 and 90.00 degrees. Symmetry generates all atoms from Sc at (0.0000, 0.0000, 0.5000), Os at (0.5000, 0.5000, 0.5000) and C at (0.0000, 0.0000, 0.0000).

=====

(21)
## OsCSe3 (PBEsol)

Data for a geometry-optimized OsCSe3 structure.

The calculation puts the raw total energy at -26.203 eV/f.u. The value obtained for the density of states at the Fermi level is 2.67 states/eV/cell. For the uncorrected formation energy, the calculation gives 1.44 eV per atom.

The space group is Pm-3m (No. 221) and the conventional cell measures 4.1869, 4.1869 and 4.1869 Å, with angles of 90.00, 90.00 and 90.00 degrees. Symmetry generates all atoms from Os at (0.0000, 0.0000, 0.0000), C at (0.5000, 0.5000, 0.5000) and Se at (0.0000, 0.5000, 0.5000).

=====

(22)
## SiOsC3 (PBEsol)

Data for a geometry-optimized SiOsC3 structure.

The calculation puts the raw total energy at -35.139 eV/f.u. The value obtained for the density of states at the Fermi level is 4.69 states/eV/cell. For the uncorrected formation energy, the calculation gives 2.35 eV per atom.

The space group is Pm-3m (No. 221) and the conventional cell measures 3.6740, 3.6740 and 3.6740 Å, with angles of 90.00, 90.00 and 90.00 degrees. Symmetry generates all atoms from Si at (0.0000, 0.0000, 0.0000), Os at (0.5000, 0.5000, 0.5000) and C at (0.0000, 0.0000, 0.5000).

=====

(23)
## SmSiOs2C (PBEsol)

Data for a geometry-optimized SmSiOs2C structure.

The calculation puts the raw total energy at -47.528 eV/f.u. The value obtained for the density of states at the Fermi level is 10.91 states/eV/cell. For the uncorrected formation energy, the calculation gives -0.52 eV per atom.

The space group is Cmcm (No. 63) and the conventional cell measures 3.9007, 11.0338 and 7.1035 Å, with angles of 90.00, 90.00 and 90.00 degrees. Symmetry generates all atoms from Sm at (0.0000, 0.0491, 0.2500), Si at (0.0000, 0.2300, 0.7500), Os at (0.0000, 0.3338, 0.0596) and C at (0.0000, 0.5000, 0.0000).

=====

(24)
## TmSiOs2C (PBEsol)

Data for a geometry-optimized TmSiOs2C structure.

The calculation puts the raw total energy at -47.330 eV/f.u. The value obtained for the density of states at the Fermi level is 9.68 states/eV/cell. For the uncorrected formation energy, the calculation gives -0.52 eV per atom.

The space group is Cmcm (No. 63) and the conventional cell measures 3.7916, 11.0726 and 7.0371 Å, with angles of 90.00, 90.00 and 90.00 degrees. Symmetry generates all atoms from Tm at (0.0000, 0.0472, 0.2500), Si at (0.0000, 0.2316, 0.7500), Os at (0.0000, 0.3351, 0.0577) and C at (0.0000, 0.5000, 0.0000).

=====

(25)
## YSiOs2C (PBEsol)

Data for a geometry-optimized YSiOs2C structure.

The calculation puts the raw total energy at -49.348 eV/f.u. The value obtained for the density of states at the Fermi level is 10.10 states/eV/cell. For the uncorrected formation energy, the calculation gives -0.54 eV per atom.

The space group is Cmcm (No. 63) and the conventional cell measures 3.8386, 11.0509 and 7.0660 Å, with angles of 90.00, 90.00 and 90.00 degrees. Symmetry generates all atoms from Y at (0.0000, 0.0478, 0.2500), Si at (0.0000, 0.2309, 0.7500), Os at (0.0000, 0.3345, 0.0586) and C at (0.0000, 0.5000, 0.0000).

=====

(26)
## Ta3OsC (PBEsol)

Data for a geometry-optimized Ta3OsC structure.

As for the formation enthalpy at 0 K: 2.467 eV/atom. The calculation puts the raw total energy at -47.178 eV/f.u. The value obtained for the density of states at the Fermi level is 4.06 states/eV/cell.

The space group is Pm-3m (No. 221) and the conventional cell measures 4.7690, 4.7690 and 4.7690 Å, with angles of 90.00, 90.00 and 90.00 degrees. Symmetry generates all atoms from Ta at (0.0000, 0.0000, 0.5000), Os at (0.0000, 0.0000, 0.0000) and C at (0.5000, 0.5000, 0.5000).